1.
Entry from Alexandria via LeMat-Bulk: an optimized crystal structure of LaTb2Tm4 (PBE).

Results
**Total moment**: 0.000 μB/cell
**E_form**: 0.8 eV per formula unit
**Total DFT energy (no corrections)**: -4.474 eV per atom

Cell: 6.5165 8.5843 8.8318 Å, 87.01 82.15 67.93°
Last column: nearest neighbours and their distance in Å.
Space group P1 (No. 1)
Inequivalent atoms, fractional coordinates:
La 0.0000 0.0000 0.0000 x1  6 Tm 3.26-3.65, 1 La 3.52, 1 Tb 3.63
La 0.4998 0.2027 0.8390 x1  2 Tb 3.37-3.52, 3 Tm 3.44-3.56, 1 La 3.52
Tb 0.3044 0.4133 0.5238 x1  2 Tb 3.28-3.58, 7 Tm 3.29-3.67, 1 La 3.37
Tb 0.6020 0.7916 0.0511 x1  7 Tm 3.31-3.69, 1 Tb 3.47, 1 La 3.63
Tb 0.8387 0.5922 0.3720 x1  7 Tm 3.25-3.58, 3 Tb 3.28-3.47
Tb 0.9198 0.2035 0.5433 x1  6 Tm 3.39-3.77, 3 Tb 3.47-3.75, 1 La 3.52
Tm 0.1968 0.5910 0.0258 x1  2 La 3.26-3.53, 6 Tm 3.31-3.62, 2 Tb 3.58
Tm 0.2038 0.2255 0.1969 x1  5 Tm 3.36-3.70, 2 La 3.38-3.44, 3 Tb 3.39-3.63
Tm 0.2274 0.7990 0.3466 x1  4 Tb 3.31-3.68, 5 Tm 3.44-3.67, 1 La 3.65
Tm 0.4781 0.6786 0.6951 x1  5 Tm 3.35-3.60, 3 Tb 3.36-3.62
Tm 0.6167 0.9997 0.4014 x1  3 Tb 3.25-3.50, 3 Tm 3.36-3.54
Tm 0.6337 0.3622 0.1981 x1  2 Tb 3.29-3.30, 5 Tm 3.31-3.54, 1 La 3.50
Tm 0.9103 0.4146 0.8627 x1  5 Tm 3.31-3.70, 3 Tb 3.41-3.67, 2 La 3.56
Tm 0.9249 0.7837 0.6948 x1  6 Tm 3.36-3.62, 3 Tb 3.48-3.57, 1 La 3.54


2.
Entry from Alexandria via LeMat-Bulk: an optimized crystal structure of La8Tb3Tm3 (PBE).

Results
**Total moment**: 0.000 μB/cell
**E_form**: 1.4 eV per formula unit
**Total DFT energy (no corrections)**: -4.668 eV per atom

Cell: 5.6963 11.0586 15.2469 Å, 90.00 90.00 90.00°
Last column: nearest neighbours and their distance in Å.
Space group Immm (No. 71)
Inequivalent atoms, fractional coordinates:
La 0.0000 0.1574 0.2292 x8  6 La 3.21-3.56
La 0.0000 0.3379 0.3937 x8  5 La 3.21-3.58
Tb 0.0000 0.0000 0.5000 x2  4 Tm 3.61, 4 Tb 3.90
Tb 0.0000 0.5000 0.1752 x4  2 Tm 3.47, 8 La 3.64-3.88
Tm 0.0000 0.0000 0.0000 x2  2 Tm 3.32
Tm 0.0000 0.3002 0.0000 x4  1 Tm 3.32, 4 Tb 3.47-3.61, 4 La 3.62


3.
Entry from Alexandria via LeMat-Bulk: an optimized crystal structure of La12TbTm3 (PBE).

Results
**Total moment**: 0.000 μB/cell
**E_form**: 0.1 eV per formula unit
**Total DFT energy (no corrections)**: -4.816 eV per atom

Cell: 5.1952 5.1952 20.7598 Å, 90.00 90.00 90.00°
Last column: nearest neighbours and their distance in Å.
Space group P4/mmm (No. 123)
Inequivalent atoms, fractional coordinates:
La 0.0000 0.0000 0.0000 x1  8 La 3.67, 4 Tm 3.67
La 0.0000 0.0000 0.2497 x2  8 La 3.67, 4 Tm 3.67
La 0.0000 0.0000 0.5000 x1  4 Tb 3.67, 8 La 3.68
La 0.0000 0.5000 0.1248 x4  4 Tm 3.67, 8 La 3.67
La 0.0000 0.5000 0.3745 x4  8 La 3.67-3.68, 2 Tm 3.67, 2 Tb 3.68
Tb 0.5000 0.5000 0.5000 x1  12 La 3.67-3.68
Tm 0.5000 0.5000 0.0000 x1  12 La 3.67
Tm 0.5000 0.5000 0.2496 x2  12 La 3.67


4.
Entry from Alexandria via LeMat-Bulk: an optimized crystal structure of La8Tb6Tm (PBE).

Results
**Total moment**: 0.000 μB/cell
**E_form**: 2.4 eV per formula unit
**Total DFT energy (no corrections)**: -4.620 eV per atom

Cell: 9.4651 9.4651 6.7079 Å, 90.00 90.00 120.00°
Last column: nearest neighbours and their distance in Å.
Space group P-3 (No. 147)
Inequivalent atoms, fractional coordinates:
La 0.0412 0.7500 0.1675 x6  3 La 3.25-3.42, 2 Tb 3.34-3.45, 1 Tm 3.41
La 0.3333 0.6667 0.1191 x2  3 La 3.25
Tb 0.0957 0.6614 0.6505 x6  1 Tb 3.34, 5 La 3.34-3.72
Tm 0.0000 0.0000 0.5000 x1  6 La 3.41


5.
Entry from Alexandria via LeMat-Bulk: an optimized crystal structure of La3Tb3Tm5 (PBE).

Results
**Total moment**: 0.000 μB/cell
**E_form**: 8.7 eV per formula unit
**Total DFT energy (no corrections)**: -3.851 eV per atom

Cell: 9.6788 9.6788 5.3373 Å, 90.00 90.00 120.00°
Last column: nearest neighbours and their distance in Å.
Space group P-62m (No. 189)
Inequivalent atoms, fractional coordinates:
La 0.0000 0.3561 0.0000 x3  2 Tb 3.07, 4 Tm 3.12-3.16
Tb 0.0000 0.5126 0.5000 x3  2 La 3.07, 2 Tm 3.31
Tm 0.0000 0.7146 0.0000 x3  3 La 3.16-3.47, 2 Tb 3.31, 2 Tm 3.48
Tm 0.3333 0.6667 0.0000 x2  3 La 3.12, 3 Tm 3.48


6.
Entry from Alexandria via LeMat-Bulk: an optimized crystal structure of La3Tb2Tm7 (PBE).

Results
**Total moment**: 0.000 μB/cell
**E_form**: 1.2 eV per formula unit
**Total DFT energy (no corrections)**: -4.515 eV per atom

Cell: 6.3178 3.5363 17.5506 Å, 90.00 96.56 90.00°
Last column: nearest neighbours and their distance in Å.
Space group P2/m (No. 10)
Inequivalent atoms, fractional coordinates:
La 0.0000 0.0000 0.0000 x1  2 La 3.54, 10 Tm 3.55-3.62
La 0.0447 0.5000 0.6594 x2  2 La 3.54, 4 Tb 3.61-3.65, 7 Tm 3.62-3.71
Tb 0.4468 0.0000 0.3249 x2  5 Tm 3.44-3.47, 2 Tb 3.54, 4 La 3.61-3.65
Tm 0.2309 0.5000 0.1649 x2  2 Tb 3.46, 7 Tm 3.52-3.66, 3 La 3.56-3.71
Tm 0.2481 0.0000 0.4992 x2  2 Tm 3.14-3.18, 2 Tb 3.44-3.45
Tm 0.2769 0.0000 0.8353 x2  1 Tb 3.47, 8 Tm 3.54-3.66, 3 La 3.55-3.71
Tm 0.5000 0.5000 0.0000 x1  8 Tm 3.52-3.54, 4 La 3.62


7.
Entry from Alexandria via LeMat-Bulk: an optimized crystal structure of La3Tb2Tm8 (PBE).

Results
**Total moment**: 0.000 μB/cell
**E_form**: 1.2 eV per formula unit
**Total DFT energy (no corrections)**: -4.511 eV per atom

Cell: 5.5355 6.8158 11.6701 Å, 101.94 103.69 90.01°
Last column: nearest neighbours and their distance in Å.
Space group P-1 (No. 2)
Inequivalent atoms, fractional coordinates:
La 0.0000 0.0000 0.0000 x1  4 La 3.40, 2 Tm 3.58
La 0.4882 0.7049 0.9762 x2  1 La 2.96, 1 Tm 3.27
Tb 0.2290 0.8072 0.4575 x2  9 Tm 3.32-3.66
Tm 0.0781 0.5948 0.1561 x2  1 Tb 3.42, 6 Tm 3.50-3.78, 5 La 3.57-3.61
Tm 0.1784 0.2600 0.3564 x2  6 Tm 3.30-3.55, 4 Tb 3.51-3.66
Tm 0.3312 0.4853 0.6631 x2  7 Tm 3.30-3.62, 3 Tb 3.51-3.53, 1 La 3.55
Tm 0.3738 0.0278 0.7481 x2  1 La 3.27, 1 Tb 3.32, 4 Tm 3.45-3.62


8.
Entry from Alexandria via LeMat-Bulk: an optimized crystal structure of LaTb12Tm5 (PBE).

Results
**Total moment**: 0.000 μB/cell
**E_form**: 0.4 eV per formula unit
**Total DFT energy (no corrections)**: -4.580 eV per atom

Cell: 15.0680 15.0764 5.0210 Å, 90.00 90.00 90.00°
Last column: nearest neighbours and their distance in Å.
Space group Cmmm (No. 65)
Inequivalent atoms, fractional coordinates:
La 0.0000 0.0000 0.0000 x2  8 Tb 3.58, 4 Tm 3.58
Tb 0.1650 0.3340 0.5000 x8  4 Tm 3.51-3.53, 8 Tb 3.54-3.60
Tb 0.1653 0.5000 0.0000 x4  4 Tm 3.54, 8 Tb 3.54-3.57
Tb 0.1676 0.1681 0.0000 x8  8 Tb 3.50-3.57, 3 Tm 3.55-3.56, 1 La 3.58
Tb 0.1689 0.0000 0.5000 x4  8 Tb 3.54-3.57, 2 La 3.58, 2 Tm 3.60
Tm 0.0000 0.1692 0.5000 x4  8 Tb 3.51-3.60, 2 Tm 3.53, 2 La 3.58
Tm 0.0000 0.3334 0.0000 x4  4 Tm 3.53-3.55, 8 Tb 3.53-3.55
Tm 0.0000 0.5000 0.5000 x2  8 Tb 3.53-3.54, 4 Tm 3.55